# MnV4Ru2, optimized geometry, DFT PBE
# Total energy in eV/cell: -118.9
# Volume in Å³ per atom: 15.5
# Total moment in μB per formula unit: 1.1
# Crystal system: tetragonal
data_MnV4Ru2
_chemical_formula_sum 'Mn2 V8 Ru4'
_cell_length_a 4.202
_cell_length_b 4.202
_cell_length_c 12.298
_cell_angle_alpha 90.00
_cell_angle_beta 90.00
_cell_angle_gamma 90.00
_space_group_name_H-M_alt 'I 4/m m m'
_space_group_IT_number 139
_space_group_name_Hall '-I 4 2'
loop_
_atom_site_label
_atom_site_fract_x
_atom_site_fract_y
_atom_site_fract_z
Mn1 0.000 0.000 0.000
V1 0.000 0.000 0.187
V2 0.000 0.500 0.000
Ru1 0.000 0.000 0.372



# Tb2HgIr, optimized geometry, DFT PBE
# Volume in Å³ per atom: 26.8
# Total moment in μB per formula unit: 0.0
# Crystal system: trigonal
# Offset from the most stable computed form in eV per atom: 0.071
data_Tb2HgIr
_chemical_formula_sum 'Tb6 Hg3 Ir3'
_cell_length_a 4.0433
_cell_length_b 4.0433
_cell_length_c 22.7335
_cell_angle_alpha 90.00
_cell_angle_beta 90.00
_cell_angle_gamma 120.00
_space_group_name_H-M_alt 'R -3 m'
_space_group_IT_number 166
_space_group_name_Hall '-R 3 2"'
loop_
_atom_site_label
_atom_site_fract_x
_atom_site_fract_y
_atom_site_fract_z
Tb1 0.0000 0.0000 0.2334
Hg1 0.0000 0.0000 0.0000
Ir1 0.0000 0.0000 0.5000



# CaTlAu2, optimized geometry, DFT PBE
# Total energy in eV/cell: -50.1
# Volume in Å³ per atom: 22.5
# Total moment in μB per formula unit: 0.0
# Crystal system: cubic
data_CaTlAu2
_chemical_formula_sum 'Ca4 Tl4 Au8'
_cell_length_a 7.111
_cell_length_b 7.111
_cell_length_c 7.111
_cell_angle_alpha 90.00
_cell_angle_beta 90.00
_cell_angle_gamma 90.00
_space_group_name_H-M_alt 'F -4 3 m'
_space_group_IT_number 216
_space_group_name_Hall 'F -4 2 3'
loop_
_atom_site_label
_atom_site_fract_x
_atom_site_fract_y
_atom_site_fract_z
Ca1 0.000 0.000 0.000
Tl1 0.250 0.250 0.250
Au1 0.000 0.000 0.500
Au2 0.250 0.250 0.750



# Ac6ZnSi2I3, optimized geometry, DFT PBE
# Volume in Å³ per atom: 37.4
# Total moment in μB per formula unit: 0.0
# Crystal system: monoclinic
# E_form (uncorrected) in eV per formula unit: -9.39
data_Ac6ZnSi2I3
_chemical_formula_sum 'Ac12 Zn2 Si4 I6'
_cell_length_a 8.022
_cell_length_b 13.906
_cell_length_c 8.476
_cell_angle_alpha 90.00
_cell_angle_beta 108.42
_cell_angle_gamma 90.00
_space_group_name_H-M_alt 'C 1 2/m 1'
_space_group_IT_number 12
loop_
_space_group_symop_operation_xyz
'x,y,z'
'-x,-y,-z'
'-x,y,-z'
'x,-y,z'
'x+1/2,y+1/2,z'
'-x+1/2,-y+1/2,-z'
'-x+1/2,y+1/2,-z'
'x+1/2,-y+1/2,z'
loop_
_atom_site_label
_atom_site_fract_x
_atom_site_fract_y
_atom_site_fract_z
Ac1 0.231 0.000 0.205
Ac2 0.236 0.331 0.204
Zn1 0.000 0.500 0.000
Si1 0.000 0.166 0.000
I1 0.000 0.000 0.500
I2 0.000 0.331 0.500



# Th2MgGa3Ni4, optimized geometry, DFT PBE
# Total energy in eV/cell: -53.5
# Volume in Å³ per atom: 17.6
# Total moment in μB per formula unit: 0.0
# Crystal system: tetragonal
data_Th2MgGa3Ni4
_chemical_formula_sum 'Th2 Mg1 Ga3 Ni4'
_cell_length_a 4.141
_cell_length_b 4.141
_cell_length_c 10.266
_cell_angle_alpha 90.00
_cell_angle_beta 90.00
_cell_angle_gamma 90.00
_space_group_name_H-M_alt 'P -4 m 2'
_space_group_IT_number 115
loop_
_space_group_symop_operation_xyz
'x,y,z'
'y,-x,-z'
'-x,-y,z'
'-y,x,-z'
'-x,y,z'
'-y,-x,-z'
'x,-y,z'
'y,x,-z'
loop_
_atom_site_label
_atom_site_fract_x
_atom_site_fract_y
_atom_site_fract_z
Th1 0.000 0.500 0.235
Mg1 0.000 0.000 0.500
Ga1 0.000 0.500 0.881
Ga2 0.500 0.500 0.500
Ni1 0.000 0.000 0.000
Ni2 0.000 0.500 0.647
Ni3 0.500 0.500 0.000



# Rb2WSeN, optimized geometry, DFT PBE
# Volume in Å³ per atom: 35.5
# Total moment in μB per formula unit: 5.0
# Crystal system: tetragonal
# E_form (uncorrected) in eV per formula unit: 7.51
data_Rb2WSeN
_chemical_formula_sum 'Rb2 W1 Se1 N1'
_cell_length_a 6.772
_cell_length_b 6.772
_cell_length_c 3.869
_cell_angle_alpha 90.00
_cell_angle_beta 90.00
_cell_angle_gamma 90.00
_space_group_name_H-M_alt 'P 4/m m m'
_space_group_IT_number 123
_space_group_name_Hall '-P 4 2'
loop_
_atom_site_label
_atom_site_fract_x
_atom_site_fract_y
_atom_site_fract_z
Rb1 0.000 0.500 0.000
W1 0.000 0.000 0.500
Se1 0.500 0.500 0.000
N1 0.500 0.500 0.500



# TlMo2PS, optimized geometry, DFT PBE
# Volume in Å³ per atom: 28.1
# Total moment in μB per formula unit: 6.7
# Crystal system: tetragonal
# E_form (uncorrected) in eV per formula unit: 11.49
data_TlMo2PS
_chemical_formula_sum 'Tl1 Mo2 P1 S1'
_cell_length_a 5.436
_cell_length_b 5.436
_cell_length_c 4.758
_cell_angle_alpha 90.00
_cell_angle_beta 90.00
_cell_angle_gamma 90.00
_space_group_name_H-M_alt 'P 4/m m m'
_space_group_IT_number 123
_space_group_name_Hall '-P 4 2'
loop_
_atom_site_label
_atom_site_fract_x
_atom_site_fract_y
_atom_site_fract_z
Tl1 0.000 0.000 0.000
Mo1 0.000 0.500 0.000
P1 0.000 0.000 0.500
S1 0.500 0.500 0.500



# TmMg2Sc4, optimized geometry, DFT PBE
# Volume in Å³ per atom: 29.3
# Total moment in μB per formula unit: 0.0
# Crystal system: tetragonal
# Offset from the most stable computed form in eV per atom: 0.715
data_TmMg2Sc4
_chemical_formula_sum 'Tm2 Mg4 Sc8'
_cell_length_a 5.160
_cell_length_b 5.160
_cell_length_c 15.425
_cell_angle_alpha 90.00
_cell_angle_beta 90.00
_cell_angle_gamma 90.00
_space_group_name_H-M_alt 'I 4/m m m'
_space_group_IT_number 139
_space_group_name_Hall '-I 4 2'
loop_
_atom_site_label
_atom_site_fract_x
_atom_site_fract_y
_atom_site_fract_z
Tm1 0.000 0.000 0.000
Mg1 0.000 0.000 0.384
Sc1 0.000 0.000 0.183
Sc2 0.000 0.500 0.000



# KTl8In2, optimized geometry, DFT PBE
# Volume in Å³ per atom: 40.2
# Total moment in μB per formula unit: 0.0
# Crystal system: tetragonal
# Offset from the most stable computed form in eV per atom: 0.138
data_KTl8In2
_chemical_formula_sum 'K1 Tl8 In2'
_cell_length_a 6.546
_cell_length_b 6.546
_cell_length_c 10.330
_cell_angle_alpha 90.00
_cell_angle_beta 90.00
_cell_angle_gamma 90.00
_space_group_name_H-M_alt 'P 4/m m m'
_space_group_IT_number 123
_space_group_name_Hall '-P 4 2'
loop_
_atom_site_label
_atom_site_fract_x
_atom_site_fract_y
_atom_site_fract_z
K1 0.000 0.000 0.000
Tl1 0.252 0.252 0.285
In1 0.000 0.500 0.500



# PrGdCdGa, optimized geometry, DFT PBE
# Total energy in eV/cell: -98.3
# Volume in Å³ per atom: 26.4
# Total moment in μB per formula unit: 7.9
# Crystal system: cubic
data_PrGdCdGa
_chemical_formula_sum 'Pr4 Gd4 Cd4 Ga4'
_cell_length_a 7.508
_cell_length_b 7.508
_cell_length_c 7.508
_cell_angle_alpha 90.00
_cell_angle_beta 90.00
_cell_angle_gamma 90.00
_space_group_name_H-M_alt 'F -4 3 m'
_space_group_IT_number 216
_space_group_name_Hall 'F -4 2 3'
loop_
_atom_site_label
_atom_site_fract_x
_atom_site_fract_y
_atom_site_fract_z
Pr1 0.000 0.000 0.000
Gd1 0.000 0.000 0.500
Cd1 0.250 0.250 0.750
Ga1 0.250 0.250 0.250



# Ba4Na5Ca, optimized geometry, DFT PBE
# Total energy in eV/cell: -16.0
# Volume in Å³ per atom: 49.0
# Total moment in μB per formula unit: 0.0
# Crystal system: tetragonal
data_Ba4Na5Ca
_chemical_formula_sum 'Ba4 Na5 Ca1'
_cell_length_a 4.615
_cell_length_b 4.615
_cell_length_c 23.005
_cell_angle_alpha 90.00
_cell_angle_beta 90.00
_cell_angle_gamma 90.00
_space_group_name_H-M_alt 'P 4/m m m'
_space_group_IT_number 123
_space_group_name_Hall '-P 4 2'
loop_
_atom_site_label
_atom_site_fract_x
_atom_site_fract_y
_atom_site_fract_z
Ba1 0.000 0.000 0.103
Ba2 0.000 0.000 0.310
Na1 0.500 0.500 0.000
Na2 0.500 0.500 0.207
Na3 0.500 0.500 0.416
Ca1 0.000 0.000 0.500



# BaAc2In, optimized geometry, DFT PBE
# Volume in Å³ per atom: 46.1
# Total moment in μB per formula unit: 0.0
# Crystal system: trigonal
# Offset from the most stable computed form in eV per atom: 0.144
data_BaAc2In
_chemical_formula_sum 'Ba3 Ac6 In3'
_cell_length_a 5.7154
_cell_length_b 5.7154
_cell_length_c 19.5724
_cell_angle_alpha 90.00
_cell_angle_beta 90.00
_cell_angle_gamma 120.00
_space_group_name_H-M_alt 'R 3 m'
_space_group_IT_number 160
_space_group_name_Hall 'R 3 -2"'
loop_
_atom_site_label
_atom_site_fract_x
_atom_site_fract_y
_atom_site_fract_z
Ba1 0.0000 0.0000 0.0000
Ac1 0.0000 0.0000 0.2138
Ac2 0.0000 0.0000 0.4433
In1 0.0000 0.0000 0.8091